Record 1
Compound: La2SmEr5Tm
Source: the Alexandria database
Functional: PBE
Structure: relaxed

**Density of states at the Fermi level**: 12.0 states/eV/f.u.
**Energy relative to the elements**: 0.1423 eV per atom

Cell: 5.634 10.217 10.739 Å, 90.00 90.00 106.01°
Atoms (fractional coordinates):
La  0.115  0.230  0.317
Er  0.481  0.962  0.738
Er  0.984  0.967  0.525
Sm  0.416  0.832  0.461
Er  0.387  0.773  0.020
La  0.113  0.226  0.733
Er  0.298  0.597  0.708
Er  0.613  0.227  0.520
Er  0.718  0.436  0.810
Tm  0.201  0.402  0.012
La  0.887  0.774  0.233
Er  0.282  0.564  0.310
Er  0.016  0.033  0.025
La  0.885  0.770  0.817
Er  0.519  0.038  0.238
Er  0.702  0.403  0.208
Tm  0.799  0.598  0.512
Sm  0.584  0.168  0.961

Record 2
Compound: Ce2InRu
Source: the Alexandria database
Functional: PBE
Structure: relaxed

**Energy relative to the lowest polymorph listed for this composition**: 0.000 eV per atom
**Density of states at the Fermi level**: 8.6 states/eV/f.u.
**Energy relative to the elements**: -0.3588 eV per atom

Cell: 7.137 6.249 9.173 Å, 90.00 91.55 90.00°
Site moments in Bohr magnetons follow the coordinates.
Atoms (fractional coordinates):
Ce  0.180  0.834  0.825  0.34
Ru  0.457  0.871  0.637  -0.08
In  0.464  0.825  0.125  0.01
In  0.536  0.175  0.875  0.01
Ce  0.680  0.666  0.825  0.34
Ce  0.820  0.166  0.175  0.34
Ru  0.543  0.129  0.363  -0.08
In  0.964  0.675  0.125  0.01
Ru  0.043  0.371  0.363  -0.08
Ce  0.309  0.379  0.585  0.53
In  0.036  0.325  0.875  0.01
Ru  0.957  0.629  0.637  -0.08
Ce  0.809  0.121  0.585  0.53
Ce  0.320  0.334  0.175  0.34
Ce  0.191  0.879  0.415  0.53
Ce  0.691  0.621  0.415  0.53

Record 3
Compound: GaCo3H
Source: the Alexandria database
Functional: PBE
Structure: relaxed

**Energy relative to the lowest polymorph listed for this composition**: 0.042 eV per atom
**Density of states at the Fermi level**: 4.8 states/eV/f.u.

Cell: 4.194 5.059 4.538 Å, 90.00 92.27 90.00°
Site moments in Bohr magnetons follow the coordinates.
Atoms (fractional coordinates):
Ga  0.243  0.250  0.353  -0.07
Co  0.243  0.503  0.844  1.16
Co  0.757  0.497  0.156  1.16
Ga  0.757  0.750  0.647  -0.07
Co  0.757  0.250  0.655  1.07
Co  0.757  0.003  0.156  1.15
Co  0.243  0.997  0.844  1.15
H  0.468  0.750  0.051  -0.01
H  0.532  0.250  0.949  -0.01
Co  0.243  0.750  0.345  1.07

Here are the calculated total moment numbers, same order: 0.00; 1.03; 3.22 (μB per formula unit).
Here are the calculated E numbers, same order: -4.5088; -6.3293; -5.6015 (eV/atom).